Material: NdDy5Hg4
Method: DFT, PBE
State: relaxed

Properties
Calculated formation energy in eV per atom: -0.3792
Uncorrected energy in eV/atom: -3.2777
SG: P4/mmm, No. 123
DOS(E_F) in states/eV/cell: 11.28
Spin magnetization in μB per formula unit: 0.1

Cell and atoms, written as POSCAR:
```
NdDy5Hg4
1.0
-1.779 -1.860 2.650
0.928 -3.189 -1.616
16.839 -0.610 10.876
Nd Dy Hg
1 5 4
direct
0.000 0.000 0.000
0.500 0.500 0.125
0.500 0.500 0.313
0.500 0.500 0.500
0.500 0.500 0.687
0.500 0.500 0.875
0.000 0.000 0.217
0.000 0.000 0.405
0.000 0.000 0.595
0.000 0.000 0.783
```